This record from the Alexandria database describes a relaxed structure of In2Fe2Ir. The functional is PBE.

The energy of formation from the pure elements comes out at 278 meV/atom. The calculation puts the density of states at the Fermi level at 10.079 states/eV per cell.

Lattice parameters (Å, degrees): 6.340 6.340 4.088 90.00 90.00 90.00
Positions (direct):
In 0.180 0.320 0.000
In 0.320 0.820 0.000
In 0.680 0.180 0.000
In 0.820 0.680 0.000
Fe 0.123 0.623 0.500
Fe 0.377 0.123 0.500
Fe 0.623 0.877 0.500
Fe 0.877 0.377 0.500
Ir 0.000 0.000 0.500
Ir 0.500 0.500 0.500